No. 1
Crystalline Dy8Cu2Au at its relaxed geometry, computed with PBE.

Results
* total DFT energy (no corrections): -4.61 eV/atom

a b c (Å): 17.5945 5.0720 6.7848
angles (deg): 90.00 106.79 90.00
Closest atoms and distances in Å follow each position.
Space group C2/m (No. 12)
Inequivalent atoms, fractional coordinates:
Dy 0.0320 0.0000 0.2798 (multiplicity 4)  1 Cu 2.76, 2 Au 3.08
Dy 0.0930 0.5000 0.9615 (multiplicity 4)  1 Au 3.09, 2 Cu 3.24, 5 Dy 3.42-3.44
Dy 0.1722 0.5000 0.4864 (multiplicity 4)  1 Cu 2.74, 1 Au 3.06
Dy 0.2007 0.0000 0.8355 (multiplicity 4)  1 Cu 2.76
Cu 0.1817 0.0000 0.2259 (multiplicity 4)  3 Dy 2.74-2.76
Au 0.0000 0.5000 0.5000 (multiplicity 2)  8 Dy 3.06-3.09

***

No. 2
Crystalline Dy4Cu2Au at its relaxed geometry, computed with PBE.

Results
* total DFT energy (no corrections): -4.57 eV/atom
* offset from the most stable computed form: 0.021 eV/atom

a b c (Å): 4.9343 4.9343 24.1211
angles (deg): 90.00 90.00 120.00
Closest atoms and distances in Å follow each position.
Space group R-3m (No. 166, hexagonal axes)
Inequivalent atoms, fractional coordinates:
Dy 0.0000 0.0000 0.1217 (multiplicity 6)  4 Cu 3.01-3.14, 3 Au 3.05
Dy 0.0000 0.0000 0.3726 (multiplicity 6)  4 Cu 2.91-3.03, 1 Au 3.07
Cu 0.0000 0.0000 0.2518 (multiplicity 6)  8 Dy 2.91-3.14
Au 0.0000 0.0000 0.5000 (multiplicity 3)  8 Dy 3.05-3.07

***

No. 3
Crystalline Dy4CuAu2 at its relaxed geometry, computed with PBE.

Results
* total DFT energy (no corrections): -4.66 eV/atom

a b c (Å): 4.9947 4.9947 24.5743
angles (deg): 90.00 90.00 120.00
Closest atoms and distances in Å follow each position.
Space group R-3m (No. 166, hexagonal axes)
Inequivalent atoms, fractional coordinates:
Dy 0.0000 0.0000 0.1236 (multiplicity 6)  4 Au 3.01-3.02, 1 Cu 3.04
Dy 0.0000 0.0000 0.3736 (multiplicity 6)  3 Cu 3.05, 4 Au 3.11-3.14
Cu 0.0000 0.0000 0.0000 (multiplicity 3)  8 Dy 3.04-3.05
Au 0.0000 0.0000 0.2460 (multiplicity 6)  8 Dy 3.01-3.14

***

No. 4
Crystalline Dy2CuAu at its relaxed geometry, computed with PBE.

Results
* total DFT energy (no corrections): -4.71 eV/atom

a b c (Å): 5.7262 4.5930 7.4411
angles (deg): 90.00 110.77 90.00
Closest atoms and distances in Å follow each position.
Space group P2_1/m (No. 11)
Inequivalent atoms, fractional coordinates:
Dy 0.2125 0.2500 0.4266 (multiplicity 2)  4 Cu 2.98-3.03, 3 Au 2.99-3.03
Dy 0.2281 0.2500 0.9274 (multiplicity 2)  3 Cu 2.96-3.04, 4 Au 3.02-3.03
Cu 0.3434 0.7500 0.7040 (multiplicity 2)  2 Au 2.86, 7 Dy 2.96-3.04
Au 0.3372 0.7500 0.2117 (multiplicity 2)  2 Cu 2.86, 7 Dy 2.99-3.03

***

No. 5
Crystalline Dy4Cu2Au at its relaxed geometry, computed with PBE.

Results
* total DFT energy (no corrections): -4.59 eV/atom
* offset from the most stable computed form: 0.000 eV/atom

a b c (Å): 6.9069 7.7119 7.7168
angles (deg): 106.58 109.04 107.15
Closest atoms and distances in Å follow each position.
Space group P1 (No. 1)
Inequivalent atoms, fractional coordinates:
Dy 0.0000 0.0000 0.0000 (multiplicity 1)  2 Cu 2.89, 1 Au 2.99
Dy 0.0237 0.4239 0.8243 (multiplicity 1)  3 Cu 2.73-3.03, 1 Au 2.98
Dy 0.3015 0.8005 0.7127 (multiplicity 1)  3 Cu 2.87-3.16, 1 Au 2.95
Dy 0.3370 0.5079 0.2955 (multiplicity 1)  2 Cu 2.85, 2 Au 2.87-3.17
Dy 0.4186 0.1157 0.4809 (multiplicity 1)  3 Cu 2.76-2.84, 1 Au 2.97
Dy 0.6090 0.5582 0.9397 (multiplicity 1)  2 Cu 2.72-2.85, 2 Au 3.02-3.05
Dy 0.7598 0.3126 0.2635 (multiplicity 1)  2 Cu 2.74-2.87
Dy 0.8689 0.9383 0.4688 (multiplicity 1)  2 Au 2.97-3.07, 3 Cu 2.98-3.07
Cu 0.0655 0.7222 0.2395 (multiplicity 1)  4 Dy 2.84-3.00, 1 Au 2.90
Cu 0.1777 0.3382 0.5338 (multiplicity 1)  6 Dy 2.76-3.08, 1 Cu 3.05
Cu 0.3096 0.1915 0.8633 (multiplicity 1)  1 Cu 2.67, 3 Dy 2.72-2.89
Cu 0.6907 0.1716 0.8696 (multiplicity 1)  1 Cu 2.67, 5 Dy 2.73-2.89
Au 0.4328 0.8406 0.1314 (multiplicity 1)  1 Cu 2.90, 6 Dy 2.95-3.17
Au 0.7601 0.6164 0.6270 (multiplicity 1)  6 Dy 2.87-3.10

***

No. 6
Crystalline Dy12Cu6Au at its relaxed geometry, computed with PBE.

Results
* total DFT energy (no corrections): -4.59 eV/atom
* offset from the most stable computed form: 0.000 eV/atom

a b c (Å): 9.7565 9.7565 9.7565
angles (deg): 90.00 90.00 90.00
Closest atoms and distances in Å follow each position.
Space group Im-3 (No. 204)
Inequivalent atoms, fractional coordinates:
Dy 0.0000 0.1881 0.2920 (multiplicity 24)  3 Cu 2.73-3.00
Cu 0.0000 0.3748 0.5000 (multiplicity 12)  1 Cu 2.44, 2 Dy 2.73
Au 0.0000 0.0000 0.0000 (multiplicity 2)  12 Dy 3.39

***

No. 7
Crystalline Dy3CuAu2 at its relaxed geometry, computed with PBE.

Results
* total DFT energy (no corrections): -4.73 eV/atom

a b c (Å): 3.5531 3.5531 10.7267
angles (deg): 90.00 90.00 90.00
Closest atoms and distances in Å follow each position.
Space group P4/mmm (No. 123)
Inequivalent atoms, fractional coordinates:
Dy 0.0000 0.0000 0.0000 (multiplicity 1)  8 Au 3.11
Dy 0.0000 0.0000 0.3401 (multiplicity 2)  4 Cu 3.04, 4 Au 3.10
Cu 0.5000 0.5000 0.5000 (multiplicity 1)  8 Dy 3.04
Au 0.5000 0.5000 0.1716 (multiplicity 2)  8 Dy 3.10-3.11

***

No. 8
Crystalline DyErCuAu at its relaxed geometry, computed with PBE.

Results
* total DFT energy (no corrections): -4.69 eV/atom

a b c (Å): 7.0573 7.0573 7.0573
angles (deg): 90.00 90.00 90.00
Closest atoms and distances in Å follow each position.
Space group F-43m (No. 216)
Inequivalent atoms, fractional coordinates:
Dy 0.0000 0.0000 0.0000 (multiplicity 4)  4 Cu 3.06, 4 Au 3.06
Er 0.0000 0.0000 0.5000 (multiplicity 4)  4 Au 3.06, 4 Cu 3.06
Cu 0.2500 0.2500 0.2500 (multiplicity 4)  4 Dy 3.06, 4 Er 3.06
Au 0.2500 0.2500 0.7500 (multiplicity 4)  4 Dy 3.06, 4 Er 3.06

***

No. 9
Crystalline Dy2Ga4CuAu3 at its relaxed geometry, computed with PBE.

Results
* total DFT energy (no corrections): -4.08 eV/atom

a b c (Å): 4.1953 4.1953 11.0440
angles (deg): 90.00 90.00 90.00
Closest atoms and distances in Å follow each position.
Space group P-4m2 (No. 115)
Inequivalent atoms, fractional coordinates:
Dy 0.0000 0.5000 0.2388 (multiplicity 2)  8 Ga 3.20-3.57, 6 Au 3.24-3.37, 2 Cu 3.37
Ga 0.0000 0.0000 0.5000 (multiplicity 1)  4 Au 2.63
Ga 0.0000 0.5000 0.8706 (multiplicity 2)  3 Au 2.50-2.54, 2 Cu 2.54
Ga 0.5000 0.5000 0.5000 (multiplicity 1)  4 Au 2.63
Cu 0.5000 0.5000 0.0000 (multiplicity 1)  4 Ga 2.54
Au 0.0000 0.0000 0.0000 (multiplicity 1)  4 Ga 2.54
Au 0.0000 0.5000 0.6439 (multiplicity 2)  5 Ga 2.50-2.63

***

No. 10
Crystalline Dy2Ga4Cu3Au at its relaxed geometry, computed with PBE.

Results
* total DFT energy (no corrections): -4.16 eV/atom

a b c (Å): 4.1711 4.1711 10.2692
angles (deg): 90.00 90.00 90.00
Closest atoms and distances in Å follow each position.
Space group P-4m2 (No. 115)
Inequivalent atoms, fractional coordinates:
Dy 0.0000 0.5000 0.2458 (multiplicity 2)  8 Ga 3.16-3.27, 6 Cu 3.19-3.34, 2 Au 3.34
Ga 0.0000 0.0000 0.0000 (multiplicity 1)  4 Cu 2.47
Ga 0.0000 0.5000 0.6433 (multiplicity 2)  3 Cu 2.35-2.55, 2 Au 2.55
Ga 0.5000 0.5000 0.0000 (multiplicity 1)  4 Cu 2.47
Cu 0.0000 0.5000 0.8719 (multiplicity 2)  5 Ga 2.35-2.47
Cu 0.5000 0.5000 0.5000 (multiplicity 1)  4 Ga 2.55
Au 0.0000 0.0000 0.5000 (multiplicity 1)  4 Ga 2.55

***

No. 11
Crystalline Dy2Ga3Cu4Au at its relaxed geometry, computed with PBE.

Results
* total DFT energy (no corrections): -4.20 eV/atom

a b c (Å): 4.0225 4.0225 10.8457
angles (deg): 90.00 90.00 90.00
Closest atoms and distances in Å follow each position.
Space group P-4m2 (No. 115)
Inequivalent atoms, fractional coordinates:
Dy 0.0000 0.5000 0.2464 (multiplicity 2)  8 Cu 3.05-3.34, 6 Ga 3.11-3.41, 2 Au 3.41
Ga 0.0000 0.5000 0.8700 (multiplicity 2)  5 Cu 2.38-2.46
Ga 0.5000 0.5000 0.5000 (multiplicity 1)  4 Cu 2.59, 4 Au 2.84
Cu 0.0000 0.0000 0.0000 (multiplicity 1)  4 Ga 2.46
Cu 0.0000 0.5000 0.6509 (multiplicity 2)  3 Ga 2.38-2.59, 2 Au 2.59
Cu 0.5000 0.5000 0.0000 (multiplicity 1)  4 Ga 2.46
Au 0.0000 0.0000 0.5000 (multiplicity 1)  4 Cu 2.59, 4 Ga 2.84

***

No. 12
Crystalline DyGa3CuAu at its relaxed geometry, computed with PBE.

Results
* total DFT energy (no corrections): -3.76 eV/atom

a b c (Å): 5.5750 13.5029 6.0067
angles (deg): 90.00 90.00 90.00
Closest atoms and distances in Å follow each position.
Space group Cmcm (No. 63)
Inequivalent atoms, fractional coordinates:
Dy 0.0000 0.1959 0.2500 (multiplicity 4)  1 Cu 2.77, 2 Ga 2.93, 2 Au 3.03
Ga 0.0000 0.3719 0.7500 (multiplicity 4)  1 Au 2.74, 4 Ga 2.76, 2 Dy 2.93, 3 Cu 3.03-3.06
Ga 0.2238 0.0000 0.0000 (multiplicity 8)  3 Ga 2.50-2.76, 2 Cu 2.53
Cu 0.0000 0.4014 0.2500 (multiplicity 4)  4 Ga 2.53, 1 Dy 2.77
Au 0.0000 0.1692 0.7500 (multiplicity 4)  5 Ga 2.74-3.01, 2 Cu 2.95, 2 Dy 3.03